The following is a DFT calculation (PBE with a Hubbard U) of KAlCr2H2O8 after structural relaxation.

Lattice parameters (Å, degrees): 6.3046 6.3046 8.1599 62.99 62.99 50.60
Last column: nearest neighbours and their distance in Å.
Atoms (fractional coordinates):
K 0.0000 0.0000 0.5000  6 O 2.74-3.05
Al 0.0000 0.0000 0.0000  4 O 1.82
Cr 0.5802 0.5802 0.7328  3 O 1.62-1.75
Cr 0.4198 0.4198 0.2672  3 O 1.62-1.75
H 0.3023 0.3023 0.1007  1 O 0.98
H 0.6977 0.6977 0.8993  1 O 0.98
O 0.7291 0.7291 0.7635  1 H 0.98
O 0.2709 0.2709 0.2365  1 H 0.98
O 0.3587 0.3587 0.4940  1 Cr 1.62
O 0.6413 0.6413 0.5060  1 Cr 1.62
O 0.2212 0.7542 0.8483  1 Cr 1.75, 1 Al 1.82
O 0.7788 0.2458 0.1517  1 Cr 1.75, 1 Al 1.82
O 0.2458 0.7788 0.1517  1 Cr 1.75, 1 Al 1.82
O 0.7542 0.2212 0.8483  1 Cr 1.75, 1 Al 1.82

Calculated values
- E above lowest polymorph (kcal/mol of atoms) = 2.56
- mass density (Mg/m³) = 2.30